No. 1
{"formula": "Cu12Te", "functional": "PBE-GGA", "state": "optimized geometry", "density_g_cm3": 4.24, "polymorph_energy_mev_per_atom": 140, "e_tot_ev_per_atom": -3.4855, "lattice_angstrom": [[10.6678, 0.0000, 0.0000], [0.0000, 2.6459, 0.0000], [-0.2142, 0.0000, 24.6922]], "species": ["Cu", "Cu", "Cu", "Cu", "Cu", "Cu", "Cu", "Cu", "Cu", "Cu", "Cu", "Cu", "Cu", "Cu", "Cu", "Cu", "Cu", "Cu", "Cu", "Cu", "Cu", "Cu", "Cu", "Cu", "Te", "Te"], "fractional_positions": [[0.5324, 0.7500, 0.3091], [0.9193, 0.2500, 0.3237], [0.3058, 0.7500, 0.3358], [0.6994, 0.2500, 0.3544], [0.0859, 0.7500, 0.3743], [0.4715, 0.2500, 0.3895], [0.8607, 0.7500, 0.4066], [0.2525, 0.2500, 0.4242], [0.6389, 0.7500, 0.4408], [0.0278, 0.2500, 0.4577], [0.4174, 0.7500, 0.4747], [0.8051, 0.2500, 0.4913], [0.1949, 0.7500, 0.5087], [0.5826, 0.2500, 0.5253], [0.9722, 0.7500, 0.5423], [0.3611, 0.2500, 0.5592], [0.7475, 0.7500, 0.5758], [0.1393, 0.2500, 0.5934], [0.5285, 0.7500, 0.6105], [0.9141, 0.2500, 0.6257], [0.3006, 0.7500, 0.6456], [0.6942, 0.2500, 0.6642], [0.0807, 0.7500, 0.6763], [0.4676, 0.2500, 0.6909], [0.1322, 0.2500, 0.2675], [0.8678, 0.7500, 0.7325]]}



No. 2
{"formula": "Si2AgO4", "functional": "PBE-GGA", "state": "optimized geometry", "density_g_cm3": 5.02, "e_tot_ev_per_atom": -6.1832, "lattice_angstrom": [[4.2253, -4.2258, 0.0000], [-4.2253, 0.0000, -4.2258], [4.2253, 4.2258, 0.0000]], "species": ["Ag", "Ag", "O", "O", "O", "O", "O", "O", "O", "O", "Si", "Si", "Si", "Si"], "fractional_positions": [[0.0000, 0.0000, 0.0000], [0.7500, 0.5000, 0.2500], [0.6000, 0.2001, 0.3999], [0.1998, 0.7999, 0.3999], [0.6001, 0.7999, 0.4000], [0.1499, 0.2999, 0.4498], [0.6001, 0.2001, 0.8002], [0.1499, 0.7001, 0.8500], [0.1500, 0.2999, 0.8501], [0.5502, 0.7001, 0.8501], [0.3750, 0.7500, 0.1250], [0.8750, 0.2500, 0.6250], [0.3750, 0.7500, 0.6250], [0.3750, 0.2500, 0.6250]]}



No. 3
{"formula": "Zr3Bi", "functional": "PBE-GGA", "state": "optimized geometry", "density_g_cm3": 8.69, "e_tot_ev_per_atom": -7.6152, "lattice_angstrom": [[-4.1537, 0.1362, -4.8232], [5.7906, -2.5045, -0.8552], [-1.8250, -4.7109, 1.4386]], "species": ["Bi", "Bi", "Zr", "Zr", "Zr", "Zr", "Zr", "Zr"], "fractional_positions": [[0.0000, 0.0000, 0.0000], [0.3333, 0.6667, 0.5000], [0.5028, 0.0055, 0.0000], [0.5028, 0.4972, 0.0000], [0.9945, 0.4972, 0.0000], [0.3389, 0.1694, 0.5000], [0.8306, 0.1694, 0.5000], [0.8306, 0.6611, 0.5000]]}



No. 4
{"formula": "Hf2Ta4Ge3N3", "functional": "PBE-GGA", "state": "optimized geometry", "density_g_cm3": 12.84, "e_tot_ev_per_atom": -9.5980, "lattice_angstrom": [[5.6186, 0.0000, 0.0000], [2.7883, 4.8779, 0.0000], [2.7797, 1.6129, 12.6516]], "species": ["Ge", "Ge", "Ge", "Ge", "Ge", "Ge", "Hf", "Hf", "Hf", "Hf", "N", "N", "N", "N", "N", "N", "Ta", "Ta", "Ta", "Ta", "Ta", "Ta", "Ta", "Ta"], "fractional_positions": [[0.2225, 0.4186, 0.2490], [0.9458, 0.0542, 0.2500], [0.5814, 0.7775, 0.2510], [0.4186, 0.2225, 0.7490], [0.0542, 0.9458, 0.7500], [0.7775, 0.5814, 0.7510], [0.6364, 0.4664, 0.1009], [0.5336, 0.3636, 0.3991], [0.4664, 0.6364, 0.6009], [0.3636, 0.5336, 0.8991], [0.0000, 0.5000, 0.0000], [0.3440, 0.8102, 0.0000], [0.1898, 0.6560, 0.4999], [0.5000, 0.0000, 0.5000], [0.8102, 0.3440, 0.5001], [0.6560, 0.1898, 0.9999], [0.3054, 0.1313, 0.0861], [0.9644, 0.8106, 0.0864], [0.1894, 0.0356, 0.4136], [0.8687, 0.6946, 0.4139], [0.1313, 0.3054, 0.5861], [0.8106, 0.9644, 0.5864], [0.0356, 0.1894, 0.9136], [0.6946, 0.8687, 0.9139]]}



No. 5
{"formula": "AcNpGa", "functional": "PBE-GGA", "state": "optimized geometry", "density_g_cm3": 9.08, "polymorph_energy_mev_per_atom": 0, "e_tot_ev_per_atom": -6.3069, "lattice_angstrom": [[2.0923, -1.8779, 4.3365], [3.2903, 2.8905, 2.7437], [-1.4324, 1.8932, 4.5906]], "species": ["Ac", "Ga", "Np"], "fractional_positions": [[0.5000, 0.5000, 0.5000], [0.2500, 0.2500, 0.2500], [0.0000, 0.0000, 0.0000]]}



No. 6
{"formula": "Nd3SeN2", "functional": "PBE-GGA", "state": "optimized geometry", "density_g_cm3": 7.52, "e_tot_ev_per_atom": -7.2787, "lattice_angstrom": [[3.7547, 0.0000, 0.0000], [-1.8773, 3.2516, 0.0000], [0.0000, 0.0000, 9.7636]], "species": ["N", "N", "Nd", "Nd", "Nd", "Se"], "fractional_positions": [[0.6667, 0.3333, 0.1574], [0.3333, 0.6667, 0.8426], [0.0000, 0.0000, 0.0000], [0.3333, 0.6667, 0.2882], [0.6667, 0.3333, 0.7118], [0.0000, 0.0000, 0.5000]]}



No. 7
{"formula": "Zr2Si", "functional": "PBE-GGA", "state": "optimized geometry", "density_g_cm3": 5.62, "e_tot_ev_per_atom": -7.7448, "lattice_angstrom": [[-13.5321, -0.5785, 4.1148], [-2.7856, -7.3421, 0.1038], [1.4200, -0.4737, 4.6034]], "species": ["Si", "Si", "Si", "Si", "Si", "Si", "Si", "Si", "Zr", "Zr", "Zr", "Zr", "Zr", "Zr", "Zr", "Zr", "Zr", "Zr", "Zr", "Zr", "Zr", "Zr", "Zr", "Zr"], "fractional_positions": [[0.7199, 0.2098, 0.0000], [0.2589, 0.4470, 0.0000], [0.8246, 0.7194, 0.0000], [0.0566, 0.9628, 0.0000], [0.4746, 0.1512, 0.5000], [0.1378, 0.3984, 0.5000], [0.3699, 0.6416, 0.5000], [0.9355, 0.9141, 0.5000], [0.5987, 0.0141, 0.0000], [0.3974, 0.0708, 0.0000], [0.1536, 0.2169, 0.0000], [0.9014, 0.3152, 0.0000], [0.4587, 0.4565, 0.0000], [0.6691, 0.5866, 0.0000], [0.0461, 0.6338, 0.0000], [0.2661, 0.7960, 0.0000], [0.2930, 0.0459, 0.5000], [0.0407, 0.1443, 0.5000], [0.7971, 0.2902, 0.5000], [0.5959, 0.3468, 0.5000], [0.9283, 0.5651, 0.5000], [0.1482, 0.7275, 0.5000], [0.5255, 0.7744, 0.5000], [0.7358, 0.9045, 0.5000]]}



No. 8
{"formula": "Tb2YSn3Ir2Pd", "functional": "PBE-GGA", "state": "optimized geometry", "density_g_cm3": 10.68, "e_tot_ev_per_atom": -6.4887, "lattice_angstrom": [[-3.4828, -0.8479, 1.6079], [2.4871, -6.9378, 1.7285], [0.8897, 5.6813, 4.9232]], "species": ["Ir", "Ir", "Pd", "Sn", "Sn", "Sn", "Tb", "Tb", "Y"], "fractional_positions": [[0.5000, 0.6666, 0.3321], [0.5000, 0.3321, 0.6666], [0.0000, 0.0003, 0.0003], [0.5000, 0.2640, 0.2640], [0.5000, 0.9994, 0.7367], [0.5000, 0.7367, 0.9994], [0.0000, 0.4100, 0.0000], [0.0000, 0.0000, 0.4100], [0.0000, 0.5909, 0.5909]]}



No. 9
{"formula": "Dy4YTm2Ni2S2", "functional": "PBE-GGA", "state": "optimized geometry", "density_g_cm3": 8.17, "e_tot_ev_per_atom": -5.6950, "lattice_angstrom": [[-4.7368, 0.2801, 7.5441], [-4.2639, 1.3815, -7.7032], [3.6362, -4.8974, 6.4978]], "species": ["Dy", "Dy", "Dy", "Dy", "Ni", "Ni", "S", "S", "Tm", "Tm", "Y"], "fractional_positions": [[0.0147, 0.8947, 0.1200], [0.1004, 0.7373, 0.3631], [0.3741, 0.7373, 0.6369], [0.7747, 0.8947, 0.8800], [0.6450, 0.4062, 0.2388], [0.1674, 0.4062, 0.7612], [0.1460, 0.1460, 0.0000], [0.7368, 0.2368, 0.5000], [0.4182, 0.1005, 0.3177], [0.7827, 0.1005, 0.6823], [0.4862, 0.4862, 0.0000]]}



No. 10
{"formula": "TlCuTe3Pt", "functional": "PBE-GGA", "state": "optimized geometry", "density_g_cm3": 9.05, "polymorph_energy_mev_per_atom": 23, "e_tot_ev_per_atom": -3.8036, "lattice_angstrom": [[6.6372, -2.0373, 0.0000], [6.6372, 2.0373, 0.0000], [0.0000, 0.0000, 11.4757]], "species": ["Cu", "Cu", "Pt", "Pt", "Te", "Te", "Te", "Te", "Te", "Te", "Tl", "Tl"], "fractional_positions": [[0.5983, 0.5983, 0.2500], [0.4017, 0.4017, 0.7500], [0.0000, 0.0000, 0.0000], [0.0000, 0.0000, 0.5000], [0.6317, 0.6317, 0.0245], [0.9723, 0.9723, 0.2500], [0.6317, 0.6317, 0.4755], [0.3683, 0.3683, 0.5245], [0.0277, 0.0277, 0.7500], [0.3683, 0.3683, 0.9755], [0.2620, 0.2620, 0.2500], [0.7380, 0.7380, 0.7500]]}